Entry 1:
This record from Alexandria via LeMat-Bulk describes a geometry-optimized SrSbN structure. The functional is PBE.

Cell lengths 4.867, 6.520, 8.864 Å; angles 134.27, 90.00, 111.91 degrees
Fractional positions:
Sr1 0.008 0.016 0.733
Sr2 0.992 0.984 0.267
Sb1 0.321 0.643 0.324
Sb2 0.679 0.357 0.676
N1 0.527 0.054 0.968
N2 0.473 0.946 0.032

Computed properties:
total DFT energy (no corrections): -5.1990 eV/atom
crystal system: monoclinic
uncorrected formation energy: -0.4892 eV per atom


Entry 2:
This record from Alexandria via LeMat-Bulk describes a geometry-optimized Sm2ErLu structure. The functional is PBE.

Cell lengths 5.665, 5.665, 5.665 Å; angles 60.00, 60.00, 60.00 degrees
Fractional positions:
Lu1 0.500 0.500 0.500
Sm1 0.250 0.250 0.250
Sm2 0.750 0.750 0.750
Er1 0.000 0.000 0.000

Computed properties:
total DFT energy (no corrections): -4.5246 eV/atom
energy above the most stable polymorph in this dataset: 0.085 eV per atom
crystal system: cubic
ΔH_f (0 K): 0.106 eV per atom


Entry 3:
This record from Alexandria via LeMat-Bulk describes a geometry-optimized Sm6Tm8Zr structure. The functional is PBE.

Cell lengths 8.543, 8.543, 8.543 Å; angles 63.34, 63.34, 63.34 degrees
Fractional positions:
Sm1 0.893 0.457 0.779
Sm2 0.221 0.107 0.543
Sm3 0.543 0.221 0.107
Sm4 0.457 0.779 0.893
Sm5 0.779 0.893 0.457
Sm6 0.107 0.543 0.221
Tm1 0.111 0.720 0.753
Tm2 0.247 0.889 0.280
Tm3 0.280 0.247 0.889
Tm4 0.577 0.577 0.577
Tm5 0.423 0.423 0.423
Tm6 0.720 0.753 0.111
Tm7 0.753 0.111 0.720
Tm8 0.889 0.280 0.247
Zr1 0.000 0.000 0.000

Computed properties:
total DFT energy (no corrections): -4.7142 eV/atom
crystal system: trigonal
ΔH_f (0 K): 0.128 eV per atom


Entry 4:
This record from Alexandria via LeMat-Bulk describes a geometry-optimized Ac2CdH2 structure. The functional is PBE.

Cell lengths 4.188, 4.188, 7.443 Å; angles 106.34, 106.34, 90.00 degrees
Fractional positions:
Ac1 0.647 0.647 0.295
Ac2 0.353 0.353 0.705
Cd1 0.000 0.000 0.000
H1 0.750 0.250 0.500
H2 0.250 0.750 0.500

Computed properties:
total DFT energy (no corrections): -3.6153 eV/atom
crystal system: tetragonal